P:
DFT (PBE-GGA) results for a relaxed PrSnPb2 crystal.

Computed properties:
For the density of states at the Fermi level, the calculation gives 2.058 states/eV per cell. As for the volume: 117.6 Å³/cell.

Cell lengths 4.8933, 4.8933, 4.9110 Å; angles 90.00, 90.00, 90.00 degrees
Closest atoms and distances in Å follow each position.
Fractional coordinates of all 4 atoms:
Pr 0.0000 0.0000 0.0000  4 Sn 3.46, 8 Pb 3.47
Sn 0.5000 0.5000 0.0000  4 Pr 3.46, 8 Pb 3.47
Pb 0.0000 0.5000 0.5000  4 Pb 3.46, 4 Pr 3.47, 4 Sn 3.47
Pb 0.5000 0.0000 0.5000  4 Pb 3.46, 4 Pr 3.47, 4 Sn 3.47

***

Q:
DFT (PBE-GGA) results for a relaxed PrSnPb2 crystal.

Computed properties:
For the density of states at the Fermi level, the calculation gives 14.470 states/eV per cell. As for the volume: 373.2 Å³/cell.

Cell lengths 5.5993, 5.5993, 13.7443 Å; angles 90.00, 90.00, 120.00 degrees
Closest atoms and distances in Å follow each position.
Fractional coordinates of all 12 atoms:
Pr 0.0000 0.0000 0.0000  8 Pb 3.43
Pr 0.3333 0.6667 0.6667  8 Pb 3.43
Pr 0.6667 0.3333 0.3333  8 Pb 3.43
Sn 0.0000 0.0000 0.5000  8 Pb 3.43-3.44
Sn 0.3333 0.6667 0.1667  8 Pb 3.43-3.44
Sn 0.6667 0.3333 0.8333  8 Pb 3.43-3.44
Pb 0.0000 0.0000 0.2498  4 Sn 3.43-3.44, 4 Pr 3.43
Pb 0.0000 0.0000 0.7502  4 Sn 3.43-3.44, 4 Pr 3.43
Pb 0.3333 0.6667 0.4169  4 Sn 3.43-3.44, 4 Pr 3.43
Pb 0.3333 0.6667 0.9164  4 Sn 3.43-3.44, 4 Pr 3.43
Pb 0.6667 0.3333 0.0836  4 Sn 3.43-3.44, 4 Pr 3.43
Pb 0.6667 0.3333 0.5831  4 Sn 3.43-3.44, 4 Pr 3.43

***

Least stable = Q

***

P:
DFT (PBE-GGA) results for a relaxed Pr2Sn4Pb crystal.

Computed properties:
For the density of states at the Fermi level, the calculation gives 4.190 states/eV per cell. As for the volume: 212.7 Å³/cell.

Cell lengths 4.5344, 4.5344, 10.3435 Å; angles 90.00, 90.00, 90.00 degrees
Closest atoms and distances in Å follow each position.
Fractional coordinates of all 7 atoms:
Pr 0.0000 0.5000 0.2454  8 Sn 3.24-3.40, 2 Pb 3.48
Pr 0.5000 0.0000 0.7546  8 Sn 3.24-3.40, 2 Pb 3.48
Sn 0.0000 0.0000 0.0000  4 Sn 3.21, 4 Pr 3.40
Sn 0.0000 0.5000 0.7083  2 Pb 3.13, 4 Pr 3.24
Sn 0.5000 0.0000 0.2917  2 Pb 3.13, 4 Pr 3.24
Sn 0.5000 0.5000 0.0000  4 Sn 3.21, 4 Pr 3.40
Pb 0.0000 0.0000 0.5000  4 Sn 3.13, 4 Pr 3.48

***

Q:
DFT (PBE-GGA) results for a relaxed Pr2Sn4Pb crystal.

Computed properties:
For the density of states at the Fermi level, the calculation gives 8.039 states/eV per cell. As for the volume: 428.6 Å³/cell.

Cell lengths 9.3896, 9.4157, 6.7295 Å; angles 90.00, 133.91, 90.00 degrees
Closest atoms and distances in Å follow each position.
Fractional coordinates of all 14 atoms:
Pr 0.2500 0.2500 0.0000  2 Pb 3.32, 8 Sn 3.36-3.38
Pr 0.2500 0.7500 0.0000  2 Pb 3.32, 8 Sn 3.36-3.38
Pr 0.7500 0.2500 0.0000  2 Pb 3.32, 8 Sn 3.36-3.38
Pr 0.7500 0.7500 0.0000  2 Pb 3.32, 8 Sn 3.36-3.38
Sn 0.0000 0.0000 0.5000  4 Sn 3.32, 2 Pb 3.36, 4 Pr 3.38
Sn 0.0000 0.5000 0.5000  4 Sn 3.32, 4 Pr 3.38, 2 Pb 3.38
Sn 0.2500 0.2500 0.5000  4 Sn 3.32, 4 Pr 3.36-3.38, 2 Pb 3.38
Sn 0.2500 0.7500 0.5000  4 Sn 3.32, 4 Pr 3.36-3.38, 2 Pb 3.38
Sn 0.5000 0.0000 0.5000  4 Sn 3.32, 4 Pr 3.38, 2 Pb 3.38
Sn 0.5000 0.5000 0.5000  4 Sn 3.32, 2 Pb 3.36, 4 Pr 3.38
Sn 0.7500 0.2500 0.5000  4 Sn 3.32, 4 Pr 3.36-3.38, 2 Pb 3.38
Sn 0.7500 0.7500 0.5000  4 Sn 3.32, 4 Pr 3.36-3.38, 2 Pb 3.38
Pb 0.0000 0.0000 0.0000  4 Pr 3.32, 8 Sn 3.36-3.38
Pb 0.5000 0.5000 0.0000  4 Pr 3.32, 8 Sn 3.36-3.38

***

Least stable = P

***

P:
DFT (PBE-GGA) results for a relaxed SrPr2Pb crystal.

Computed properties:
For the density of states at the Fermi level, the calculation gives 3.710 states/eV per cell. As for the volume: 136.1 Å³/cell.

Cell lengths 5.1446, 5.1446, 5.1404 Å; angles 90.00, 90.00, 90.00 degrees
Closest atoms and distances in Å follow each position.
Fractional coordinates of all 4 atoms:
Sr 0.0000 0.0000 0.0000  8 Pr 3.64, 4 Pb 3.64
Pr 0.0000 0.5000 0.5000  4 Pb 3.64, 4 Sr 3.64, 4 Pr 3.64
Pr 0.5000 0.0000 0.5000  4 Pb 3.64, 4 Sr 3.64, 4 Pr 3.64
Pb 0.5000 0.5000 0.0000  8 Pr 3.64, 4 Sr 3.64

***

Q:
DFT (PBE-GGA) results for a relaxed SrPr2Pb crystal.

Computed properties:
For the density of states at the Fermi level, the calculation gives 13.324 states/eV per cell. As for the volume: 513.7 Å³/cell.

Cell lengths 4.8247, 4.8247, 25.4816 Å; angles 90.00, 90.00, 120.00 degrees
Closest atoms and distances in Å follow each position.
Fractional coordinates of all 12 atoms:
Sr 0.0000 0.0000 0.0000  6 Pr 3.88-3.89, 1 Pb 4.23
Sr 0.3333 0.6667 0.6667  6 Pr 3.88-3.89, 1 Pb 4.23
Sr 0.6667 0.3333 0.3333  6 Pr 3.88-3.89, 1 Pb 4.23
Pr 0.0000 0.0000 0.2274  3 Pb 3.18
Pr 0.0000 0.0000 0.4400  3 Pb 3.18
Pr 0.3333 0.6667 0.1067  3 Pb 3.18
Pr 0.3333 0.6667 0.8940  3 Pb 3.18
Pr 0.6667 0.3333 0.5607  3 Pb 3.18
Pr 0.6667 0.3333 0.7734  3 Pb 3.18
Pb 0.0000 0.0000 0.8340  6 Pr 3.18
Pb 0.3333 0.6667 0.5006  6 Pr 3.18
Pb 0.6667 0.3333 0.1673  6 Pr 3.18

***

R:
DFT (PBE-GGA) results for a relaxed SrPr2Pb crystal.

Computed properties:
For the density of states at the Fermi level, the calculation gives 15.906 states/eV per cell. As for the volume: 453.6 Å³/cell.

Cell lengths 3.7175, 3.7175, 37.9025 Å; angles 90.00, 90.00, 120.00 degrees
Closest atoms and distances in Å follow each position.
Fractional coordinates of all 12 atoms:
Sr 0.0000 0.0000 0.0000  2 Pr 3.63, 6 Sr 3.72
Sr 0.3333 0.6667 0.6667  2 Pr 3.63, 6 Sr 3.72
Sr 0.6667 0.3333 0.3333  2 Pr 3.63, 6 Sr 3.72
Pr 0.0000 0.0000 0.0959  3 Pb 3.44, 1 Sr 3.63, 6 Pr 3.72
Pr 0.0000 0.0000 0.9041  3 Pb 3.44, 1 Sr 3.63, 6 Pr 3.72
Pr 0.3333 0.6667 0.5708  3 Pb 3.44, 1 Sr 3.63, 6 Pr 3.72
Pr 0.3333 0.6667 0.7625  3 Pb 3.44, 1 Sr 3.63, 6 Pr 3.72
Pr 0.6667 0.3333 0.2375  3 Pb 3.44, 1 Sr 3.63, 6 Pr 3.72
Pr 0.6667 0.3333 0.4292  3 Pb 3.44, 1 Sr 3.63, 6 Pr 3.72
Pb 0.0000 0.0000 0.5000  6 Pr 3.44, 6 Pb 3.72
Pb 0.3333 0.6667 0.1667  6 Pr 3.44, 6 Pb 3.72
Pb 0.6667 0.3333 0.8333  6 Pr 3.44, 6 Pb 3.72

***

Least stable = R

***

P:
DFT (PBE-GGA) results for a relaxed Sr2PrPb crystal.

Computed properties:
For the density of states at the Fermi level, the calculation gives 12.962 states/eV per cell. As for the volume: 511.3 Å³/cell.

Cell lengths 3.8532, 3.8532, 39.7647 Å; angles 90.00, 90.00, 120.00 degrees
Closest atoms and distances in Å follow each position.
Fractional coordinates of all 12 atoms:
Sr 0.0000 0.0000 0.0856  1 Pb 3.40
Sr 0.0000 0.0000 0.9144  1 Pb 3.40
Sr 0.3333 0.6667 0.5810  1 Pb 3.40
Sr 0.3333 0.6667 0.7523  1 Pb 3.40
Sr 0.6667 0.3333 0.2477  1 Pb 3.40
Sr 0.6667 0.3333 0.4190  1 Pb 3.40
Pr 0.0000 0.0000 0.5000  6 Pr 3.85, 6 Sr 3.92
Pr 0.3333 0.6667 0.1667  6 Pr 3.85, 6 Sr 3.92
Pr 0.6667 0.3333 0.8333  6 Pr 3.85, 6 Sr 3.92
Pb 0.0000 0.0000 0.0000  2 Sr 3.40
Pb 0.3333 0.6667 0.6667  2 Sr 3.40
Pb 0.6667 0.3333 0.3333  2 Sr 3.40

***

Q:
DFT (PBE-GGA) results for a relaxed Sr2PrPb crystal.

Computed properties:
For the density of states at the Fermi level, the calculation gives 3.292 states/eV per cell. As for the volume: 146.9 Å³/cell.

Cell lengths 5.1842, 5.1842, 5.4658 Å; angles 90.00, 90.00, 90.00 degrees
Closest atoms and distances in Å follow each position.
Fractional coordinates of all 4 atoms:
Sr 0.0000 0.5000 0.0000  4 Sr 3.67, 4 Pb 3.77, 4 Pr 3.77
Sr 0.5000 0.0000 0.0000  4 Sr 3.67, 4 Pb 3.77, 4 Pr 3.77
Pr 0.0000 0.0000 0.5000  4 Pb 3.67, 8 Sr 3.77
Pb 0.5000 0.5000 0.5000  4 Pr 3.67, 8 Sr 3.77

***

Least stable = P

***

P:
DFT (PBE-GGA) results for a relaxed SrPrPb4 crystal.

Computed properties:
For the density of states at the Fermi level, the calculation gives 5.419 states/eV per cell. As for the volume: 200.2 Å³/cell.

Cell lengths 6.5662, 6.5662, 6.5662 Å; angles 60.00, 60.00, 60.00 degrees
Closest atoms and distances in Å follow each position.
Fractional coordinates of all 6 atoms:
Sr 0.0000 0.0000 0.0000  12 Pb 3.85, 4 Pr 4.02
Pr 0.7500 0.7500 0.7500  12 Pb 3.85, 4 Sr 4.02
Pb 0.3755 0.3755 0.3755  6 Pb 3.27-3.30
Pb 0.3755 0.3755 0.8735  6 Pb 3.27-3.30
Pb 0.3755 0.8735 0.3755  6 Pb 3.27-3.30
Pb 0.8735 0.3755 0.3755  6 Pb 3.27-3.30

***

Q:
DFT (PBE-GGA) results for a relaxed SrPrPb4 crystal.

Computed properties:
For the density of states at the Fermi level, the calculation gives 4.254 states/eV per cell. As for the volume: 402.6 Å³/cell.

Cell lengths 12.2913, 12.2913, 6.9049 Å; angles 90.00, 90.00, 157.30 degrees
Closest atoms and distances in Å follow each position.
Fractional coordinates of all 12 atoms:
Sr 0.2242 0.7758 0.7500  7 Pb 3.49-3.54
Sr 0.7758 0.2242 0.2500  7 Pb 3.49-3.54
Pr 0.0685 0.9315 0.2500  11 Pb 3.40-3.55
Pr 0.9315 0.0685 0.7500  11 Pb 3.40-3.55
Pb 0.0790 0.9210 0.7500  8 Pb 3.45-3.53, 3 Pr 3.46-3.55, 1 Sr 3.50
Pb 0.3523 0.6477 0.5129  5 Pb 3.27-3.63, 2 Pr 3.49, 3 Sr 3.49-3.54
Pb 0.3523 0.6477 0.9871  5 Pb 3.27-3.63, 2 Pr 3.49, 3 Sr 3.49-3.54
Pb 0.5000 0.5000 0.0000  4 Pr 3.40, 8 Pb 3.45-3.56
Pb 0.5000 0.5000 0.5000  4 Pr 3.40, 8 Pb 3.45-3.56
Pb 0.6477 0.3523 0.0129  5 Pb 3.27-3.63, 2 Pr 3.49, 3 Sr 3.49-3.54
Pb 0.6477 0.3523 0.4871  5 Pb 3.27-3.63, 2 Pr 3.49, 3 Sr 3.49-3.54
Pb 0.9210 0.0790 0.2500  8 Pb 3.45-3.53, 3 Pr 3.46-3.55, 1 Sr 3.50

***

Least stable = P